Here is K2Sc2TiSe6 after structural relaxation from Alexandria. Energies are from PBE.

```
data_K2Sc2TiSe6
_chemical_formula_sum 'K4 Sc4 Ti2 Se12'
_symmetry_space_group_name_H-M 'C 1 2/m 1'
_symmetry_Int_Tables_number 12
_cell_length_a 6.683
_cell_length_b 11.528
_cell_length_c 8.181
_cell_angle_alpha 90.00
_cell_angle_beta 106.38
_cell_angle_gamma 90.00
loop_
_symmetry_equiv_pos_as_xyz
'x,y,z'
'-x,-y,-z'
'-x,y,-z'
'x,-y,z'
'x+1/2,y+1/2,z'
'-x+1/2,-y+1/2,-z'
'-x+1/2,y+1/2,-z'
'x+1/2,-y+1/2,z'
loop_
_atom_site_label
_atom_site_type_symbol
_atom_site_fract_x
_atom_site_fract_y
_atom_site_fract_z
K1 K 0.000 0.170 0.000
Sc1 Sc 0.000 0.332 0.500
Ti1 Ti 0.000 0.000 0.500
Se1 Se 0.227 0.159 0.691
Se2 Se 0.244 0.500 0.690
```

Formation energy (no corrections) (meV/atom): -1480
Total moment (μB/f.u.): 0.07